! LiNbCo3P6O24 PBE+U optimized geometry; values from VASP
&SYSTEM
  ibrav = 0, nat = 35, ntyp = 5
/
ATOMIC_SPECIES
Li 6.94 Li.upf
Nb 92.91 Nb.upf
Co 58.93 Co.upf
P 30.97 P.upf
O 16.00 O.upf
ATOMIC_POSITIONS angstrom
Li -16.164 7.819 -11.983
Nb -2.361 1.142 -1.751
Co -14.077 6.810 -10.436
Co -10.717 5.184 -7.946
Co -5.777 2.794 -4.283
P -10.903 5.938 -4.815
P -7.791 6.206 -8.837
P -10.479 1.968 -7.976
P -5.997 6.018 -4.373
P -8.741 1.887 -3.368
P -5.698 1.981 -7.410
O -10.861 6.973 -8.492
O -12.523 5.150 -7.440
O -11.680 4.697 -4.356
O -11.146 4.580 -9.668
O -10.255 5.822 -6.203
O -9.693 6.175 -3.840
O -7.718 7.431 -7.916
O -8.880 5.184 -8.474
O -10.586 3.370 -7.356
O -6.536 6.901 -5.533
O -7.013 6.147 -3.197
O -10.068 2.681 -3.523
O -6.448 5.399 -8.725
O -9.501 1.851 -9.152
O -9.976 1.060 -6.797
O -5.906 4.603 -4.932
O -7.627 2.853 -3.752
O -8.838 0.655 -4.319
O -6.904 1.790 -8.372
O -6.295 2.135 -6.016
O -5.372 3.446 -2.573
O -4.933 3.251 -7.892
O -3.989 2.830 -4.841
O -5.688 1.003 -3.742
CELL_PARAMETERS angstrom
-2.472 3.394 -7.689
-7.798 -1.502 -3.700
-6.238 6.093 -0.849
! - energy above the lowest structure with this stoichiometry (eV per atom) = 0.007
! - crystal system = trigonal
! - calculated density (g/cm³) = 3.24